DFT (GGA-PBE) results for a relaxed Mg6ZnGa crystal.

Geometry as CIF:
```
data_Mg6ZnGa
_cell_length_a 4.938
_cell_length_b 6.319
_cell_length_c 10.587
_cell_angle_alpha 90.00
_cell_angle_beta 90.00
_cell_angle_gamma 90.00
_symmetry_space_group_name_H-M 'A m m 2'
_symmetry_Int_Tables_number 38
loop_
_symmetry_equiv_pos_as_xyz
'x,y,z'
'-x,-y,z'
'-x,y,z'
'x,-y,z'
'x,y+1/2,z+1/2'
'-x,-y+1/2,z+1/2'
'-x,y+1/2,z+1/2'
'x,-y+1/2,z+1/2'
loop_
_atom_site_label
_atom_site_type_symbol
_atom_site_fract_x
_atom_site_fract_y
_atom_site_fract_z
Mg1 Mg 0.000 0.000 0.000
Mg2 Mg 0.000 0.000 0.499
Mg3 Mg 0.000 0.248 0.256
Mg4 Mg 0.500 0.250 0.082
Zn1 Zn 0.500 0.000 0.335
Ga1 Ga 0.500 0.000 0.833
```

Calculated values
* crystal system: orthorhombic
* energy above the lowest structure with this stoichiometry: 10.2 meV/atom
* raw total energy: -1.767 eV/atom